(1)
## TlCdTc2F (SCAN)

Data for a PBEsol-optimized structure of TlCdTc2F.

## Properties
Crystal system = tetragonal
Uncorrected formation energy = 539 kJ/mol of formula units

Unit cell a=5.102 b=5.102 c=4.150 alpha=90.00 beta=90.00 gamma=90.00
Space group P4/mmm (No. 123)
Asymmetric unit:
1 Tl 0.000 0.000 0.000
2 Cd 0.500 0.500 0.500
3 Tc 0.000 0.500 0.500
4 F 0.500 0.500 0.000

***

(2)
## CdTcWF2 (SCAN)

Data for a PBEsol-optimized structure of CdTcWF2.

## Properties
Crystal system = tetragonal
Uncorrected formation energy = 172 kJ/mol of formula units

Unit cell a=3.913 b=3.913 c=6.556 alpha=90.00 beta=90.00 gamma=90.00
Space group P4/mmm (No. 123)
Asymmetric unit:
1 Cd 0.000 0.000 0.000
2 Tc 0.500 0.500 0.500
3 W 0.000 0.000 0.500
4 F 0.000 0.500 0.000

***

(3)
## CdTcW2F (SCAN)

Data for a PBEsol-optimized structure of CdTcW2F.

## Properties
Crystal system = tetragonal
Uncorrected formation energy = 1125 kJ/mol of formula units

Unit cell a=4.984 b=4.984 c=3.743 alpha=90.00 beta=90.00 gamma=90.00
Space group P4/mmm (No. 123)
Asymmetric unit:
1 Cd 0.000 0.000 0.000
2 Tc 0.500 0.500 0.500
3 W 0.000 0.500 0.000
4 F 0.000 0.000 0.500

***

(4)
## CdTe3F (SCAN)

Data for a PBEsol-optimized structure of CdTe3F.

## Properties
Crystal system = cubic
Uncorrected formation energy = 31 kJ/mol of formula units

Unit cell a=4.970 b=4.970 c=4.970 alpha=90.00 beta=90.00 gamma=90.00
Space group Pm-3m (No. 221)
Asymmetric unit:
1 Cd 0.000 0.000 0.000
2 Te 0.000 0.500 0.500
3 F 0.500 0.500 0.500

***

Question: Number 2 is which compound?
Answer: CdTcWF2

***

Question: Look up the uncorrected formation energy of the first one.
Answer: 539 kJ/mol of formula units

***

Question: Number 3 is which compound?
Answer: CdTcW2F